# SmDy3Pt2 PBE-GGA optimized geometry
# - polymorph energy (0 for the lowest one) (kJ/mol of formula units) = 0.0
# - total magnetic moment (μB/f.u.) = 0.0
# - formation energy (eV/atom) = -0.93
# - space-group type = Pmc2_1
data_SmDy3Pt2
_chemical_formula_sum 'Sm2 Dy6 Pt4'
_cell_length_a 4.791
_cell_length_b 7.193
_cell_length_c 8.849
_cell_angle_alpha 90.00
_cell_angle_beta 90.00
_cell_angle_gamma 90.00
_space_group_name_H-M_alt 'P 1'
_space_group_IT_number 1
loop_
_space_group_symop_operation_xyz
'x,y,z'
loop_
_atom_site_label
_atom_site_fract_x
_atom_site_fract_y
_atom_site_fract_z
Sm1 0.500 0.509 0.581
Sm2 0.500 0.009 0.419
Dy1 0.000 0.491 0.919
Dy2 0.000 0.991 0.081
Dy3 0.500 0.644 0.167
Dy4 0.500 0.144 0.833
Dy5 0.000 0.357 0.329
Dy6 0.000 0.857 0.671
Pt1 0.500 0.744 0.844
Pt2 0.500 0.244 0.156
Pt3 0.000 0.256 0.661
Pt4 0.000 0.756 0.339

***

# SmDy2Pt PBE-GGA optimized geometry
# - polymorph energy (0 for the lowest one) (kJ/mol of formula units) = 0.0
# - total magnetic moment (μB/f.u.) = 0.0
# - formation energy (eV/atom) = -0.70
# - space-group type = Pnma
data_SmDy2Pt
_chemical_formula_sum 'Sm4 Dy8 Pt4'
_cell_length_a 6.543
_cell_length_b 7.112
_cell_length_c 9.633
_cell_angle_alpha 90.00
_cell_angle_beta 90.00
_cell_angle_gamma 90.00
_space_group_name_H-M_alt 'P 1'
_space_group_IT_number 1
loop_
_space_group_symop_operation_xyz
'x,y,z'
loop_
_atom_site_label
_atom_site_fract_x
_atom_site_fract_y
_atom_site_fract_z
Sm1 0.633 0.524 0.250
Sm2 0.867 0.024 0.250
Sm3 0.367 0.476 0.750
Sm4 0.133 0.976 0.750
Dy1 0.175 0.678 0.062
Dy2 0.325 0.178 0.438
Dy3 0.825 0.322 0.562
Dy4 0.675 0.822 0.938
Dy5 0.825 0.322 0.938
Dy6 0.675 0.822 0.562
Dy7 0.175 0.678 0.438
Dy8 0.325 0.178 0.062
Pt1 0.063 0.386 0.250
Pt2 0.437 0.886 0.250
Pt3 0.937 0.614 0.750
Pt4 0.563 0.114 0.750

***

# Sm2DySn3Pt4 PBE-GGA optimized geometry
# - total magnetic moment (μB/f.u.) = 0.0
# - formation energy (eV/atom) = -0.89
# - space-group type = P-4m2
data_Sm2DySn3Pt4
_chemical_formula_sum 'Sm2 Dy1 Sn3 Pt4'
_cell_length_a 4.561
_cell_length_b 4.561
_cell_length_c 11.236
_cell_angle_alpha 90.00
_cell_angle_beta 90.00
_cell_angle_gamma 90.00
_space_group_name_H-M_alt 'P 1'
_space_group_IT_number 1
loop_
_space_group_symop_operation_xyz
'x,y,z'
loop_
_atom_site_label
_atom_site_fract_x
_atom_site_fract_y
_atom_site_fract_z
Sm1 0.500 0.000 0.215
Sm2 0.000 0.500 0.785
Dy1 0.500 0.500 0.500
Sn1 0.000 0.000 0.500
Sn2 0.500 0.000 0.874
Sn3 0.000 0.500 0.126
Pt1 0.500 0.500 0.000
Pt2 0.000 0.000 0.000
Pt3 0.500 0.000 0.643
Pt4 0.000 0.500 0.357

***

# SmDyTlPt PBE-GGA optimized geometry
# - total magnetic moment (μB/f.u.) = 0.0
# - formation energy (eV/atom) = -0.66
# - space-group type = F-43m
data_SmDyTlPt
_chemical_formula_sum 'Sm1 Dy1 Tl1 Pt1'
_cell_length_a 5.204
_cell_length_b 5.204
_cell_length_c 5.204
_cell_angle_alpha 60.00
_cell_angle_beta 60.00
_cell_angle_gamma 60.00
_space_group_name_H-M_alt 'P 1'
_space_group_IT_number 1
loop_
_space_group_symop_operation_xyz
'x,y,z'
loop_
_atom_site_label
_atom_site_fract_x
_atom_site_fract_y
_atom_site_fract_z
Tl1 0.750 0.750 0.750
Sm1 0.500 0.500 0.500
Pt1 0.250 0.250 0.250
Dy1 0.000 0.000 0.000

***

# SmDyZnPt PBE-GGA optimized geometry
# - polymorph energy (0 for the lowest one) (kJ/mol of formula units) = 14.4
# - total magnetic moment (μB/f.u.) = 0.0
# - formation energy (eV/atom) = -0.75
# - space-group type = F-43m
data_SmDyZnPt
_chemical_formula_sum 'Sm1 Dy1 Zn1 Pt1'
_cell_length_a 5.037
_cell_length_b 5.037
_cell_length_c 5.037
_cell_angle_alpha 60.00
_cell_angle_beta 60.00
_cell_angle_gamma 60.00
_space_group_name_H-M_alt 'P 1'
_space_group_IT_number 1
loop_
_space_group_symop_operation_xyz
'x,y,z'
loop_
_atom_site_label
_atom_site_fract_x
_atom_site_fract_y
_atom_site_fract_z
Zn1 0.250 0.250 0.250
Sm1 0.500 0.500 0.500
Pt1 0.750 0.750 0.750
Dy1 0.000 0.000 0.000

***

# SmDyZnPt PBE-GGA optimized geometry
# - polymorph energy (0 for the lowest one) (kJ/mol of formula units) = 0.0
# - total magnetic moment (μB/f.u.) = 0.0
# - formation energy (eV/atom) = -0.79
# - space-group type = Amm2
data_SmDyZnPt
_chemical_formula_sum 'Sm1 Dy1 Zn1 Pt1'
_cell_length_a 3.875
_cell_length_b 4.473
_cell_length_c 5.752
_cell_angle_alpha 90.00
_cell_angle_beta 109.68
_cell_angle_gamma 90.00
_space_group_name_H-M_alt 'P 1'
_space_group_IT_number 1
loop_
_space_group_symop_operation_xyz
'x,y,z'
loop_
_atom_site_label
_atom_site_fract_x
_atom_site_fract_y
_atom_site_fract_z
Sm1 0.141 0.000 0.282
Dy1 0.860 0.500 0.721
Zn1 0.574 0.500 0.148
Pt1 0.424 0.000 0.849

***

# DySnPt PBE-GGA optimized geometry
# - total magnetic moment (μB/f.u.) = 0.0
# - formation energy (eV/atom) = -0.78
# - space-group type = I4mm
data_DySnPt
_chemical_formula_sum 'Dy1 Sn1 Pt1'
_cell_length_a 3.462
_cell_length_b 3.462
_cell_length_c 6.089
_cell_angle_alpha 106.51
_cell_angle_beta 106.51
_cell_angle_gamma 90.00
_space_group_name_H-M_alt 'P 1'
_space_group_IT_number 1
loop_
_space_group_symop_operation_xyz
'x,y,z'
loop_
_atom_site_label
_atom_site_fract_x
_atom_site_fract_y
_atom_site_fract_z
Sn1 0.305 0.305 0.611
Pt1 0.946 0.946 0.891
Dy1 0.599 0.599 0.198

***

# Dy3Sn4Pt3 PBE-GGA optimized geometry
# - total magnetic moment (μB/f.u.) = 0.0
# - formation energy (eV/atom) = -0.89
# - space-group type = I-43d
data_Dy3Sn4Pt3
_chemical_formula_sum 'Dy6 Sn8 Pt6'
_cell_length_a 8.502
_cell_length_b 8.502
_cell_length_c 8.502
_cell_angle_alpha 109.47
_cell_angle_beta 109.47
_cell_angle_gamma 109.47
_space_group_name_H-M_alt 'P 1'
_space_group_IT_number 1
loop_
_space_group_symop_operation_xyz
'x,y,z'
loop_
_atom_site_label
_atom_site_fract_x
_atom_site_fract_y
_atom_site_fract_z
Dy1 0.625 0.750 0.875
Dy2 0.875 0.250 0.625
Dy3 0.125 0.375 0.250
Dy4 0.375 0.125 0.750
Dy5 0.250 0.875 0.125
Dy6 0.750 0.625 0.375
Sn1 0.000 0.000 0.337
Sn2 0.500 0.337 0.500
Sn3 0.663 0.163 0.163
Sn4 0.000 0.000 0.837
Sn5 0.837 0.500 0.000
Sn6 0.500 0.837 0.500
Sn7 0.337 0.500 0.000
Sn8 0.163 0.663 0.663
Pt1 0.125 0.750 0.375
Pt2 0.375 0.250 0.125
Pt3 0.625 0.875 0.250
Pt4 0.875 0.625 0.750
Pt5 0.250 0.375 0.625
Pt6 0.750 0.125 0.875